GGA-PBE Dy2Si3Ru, relaxed; crystal system = orthorhombic; raw formation energy = -4.4 eV per formula unit; space group = No. 69; M_tot = 0.000 μB per atom; E_tot = -6.52 eV per atom
1.0
-5.352 -1.846 -0.819
2.203 -4.373 -2.956
1.980 -0.707 7.837
Si Dy Ru
6 4 2
Cartesian
0.382 -4.382 -1.422 Si
0.136 -1.277 1.991 Si
-1.304 -5.649 2.072 Si
-3.393 -3.119 -0.354 Si
-1.549 -2.544 5.485 Si
2.226 -3.807 4.417 Si
1.305 -4.095 1.497 Dy
-0.810 -1.599 -0.971 Dy
-2.339 -4.620 -2.804 Dy
-2.473 -2.831 2.566 Dy
0.271 -2.550 3.975 Ru
-1.439 -4.376 0.088 Ru